[1]
Below is a geometry-optimized Ti4GaH2 structure, with properties calculated at the PBE level.

Geometry as POSCAR:
```
Ti4GaH2
1.0
0.000 6.450 2.991
4.670 0.000 2.991
4.670 6.450 0.000
Ti Ga H
8 2 4
Cartesian
4.037 1.318 3.085 Ti
1.702 1.907 1.589 Ti
5.307 3.898 2.991 Ti
2.968 4.543 1.589 Ti
6.368 7.123 4.486 Ti
4.033 9.003 2.991 Ti
5.303 11.582 3.085 Ti
2.972 5.778 4.486 Ti
4.670 6.450 2.376 Ga
7.005 9.675 3.871 Ga
5.746 2.032 2.775 H
5.929 5.258 4.270 H
3.594 10.868 2.775 H
3.411 7.643 4.270 H
```

Computed properties:
Space group: Fdd2 (43)
DFT total energy, eV per atom: -6.1719
Calculated density, Mg/m³: 4.9
Crystal system: orthorhombic
D(E_F), states/eV per atom: 0.88

=====

[2]
Below is a geometry-optimized Ti2GaH2 structure, with properties calculated at the PBE level.

Geometry as POSCAR:
```
Ti2GaH2
1.0
3.795 0.000 0.000
0.000 3.795 0.000
0.000 0.000 8.152
Ti Ga H
4 2 4
Cartesian
0.000 1.897 2.038 Ti
0.000 1.897 6.114 Ti
1.897 0.000 2.038 Ti
1.897 0.000 6.114 Ti
0.000 0.000 0.000 Ga
1.897 1.897 4.076 Ga
0.000 0.000 2.729 H
0.000 0.000 5.423 H
1.897 1.897 1.347 H
1.897 1.897 6.805 H
```

Computed properties:
Space group: I4/mmm (139)
DFT total energy, eV per atom: -5.2649
ΔE to the lowest computed polymorph, eV per formula unit: 1.59
Calculated density, Mg/m³: 4.7
Crystal system: tetragonal
D(E_F), states/eV per atom: 0.69

=====

[3]
Below is a geometry-optimized Ti4Ga5H structure, with properties calculated at the PBE level.

Geometry as POSCAR:
```
Ti4Ga5H
1.0
7.305 -1.444 0.000
7.305 1.444 0.000
-0.745 0.000 7.343
Ti Ga H
4 5 1
Cartesian
-0.055 0.000 1.347 Ti
4.261 0.000 6.964 Ti
9.603 0.000 0.379 Ti
13.919 0.000 5.997 Ti
1.978 0.000 5.391 Ga
2.268 0.000 2.784 Ga
6.932 0.000 3.672 Ga
11.596 0.000 4.559 Ga
11.887 0.000 1.952 Ga
7.305 0.000 0.000 H
```

Computed properties:
Space group: C2/m (12)
DFT total energy, eV per atom: -5.2322
Calculated density, Mg/m³: 5.8
Crystal system: monoclinic
D(E_F), states/eV per atom: 0.87

=====

[4]
Below is a geometry-optimized Ti3GaH structure, with properties calculated at the PBE level.

Geometry as POSCAR:
```
Ti3GaH
1.0
0.000 5.384 5.384
5.384 0.000 5.384
5.384 5.384 0.000
Ti Ga H
12 4 4
Cartesian
4.038 4.038 0.757 Ti
4.038 0.757 4.038 Ti
7.318 4.038 4.038 Ti
6.729 6.729 3.449 Ti
6.729 3.449 6.729 Ti
10.010 6.729 6.729 Ti
0.757 4.038 4.038 Ti
4.038 7.318 4.038 Ti
4.038 4.038 7.318 Ti
3.449 6.729 6.729 Ti
6.729 10.010 6.729 Ti
6.729 6.729 10.010 Ti
5.384 2.692 2.692 Ga
2.692 5.384 2.692 Ga
2.692 2.692 5.384 Ga
5.384 5.384 5.384 Ga
0.000 0.000 0.000 H
2.692 2.692 0.000 H
2.692 0.000 2.692 H
0.000 2.692 2.692 H
```

Computed properties:
Space group: Fd-3m (227)
DFT total energy, eV per atom: -5.9346
Calculated density, Mg/m³: 4.6
Crystal system: cubic
D(E_F), states/eV per atom: 0.66

=====

[5]
Below is a geometry-optimized Ti3GaH structure, with properties calculated at the PBE level.

Geometry as POSCAR:
```
Ti3GaH
1.0
5.089 0.000 0.000
0.000 7.826 0.000
0.000 0.000 7.285
Ti Ga H
12 4 4
Cartesian
0.012 0.653 1.074 Ti
0.012 3.260 1.074 Ti
1.267 5.870 1.756 Ti
1.278 1.957 5.398 Ti
2.533 4.567 4.716 Ti
2.533 7.173 4.716 Ti
2.556 0.653 2.569 Ti
2.556 3.260 2.569 Ti
3.811 5.870 1.887 Ti
3.822 1.957 5.530 Ti
5.077 4.567 6.212 Ti
5.077 7.173 6.212 Ti
0.000 0.000 3.643 Ga
0.000 3.913 3.643 Ga
2.544 0.000 0.000 Ga
2.544 3.913 0.000 Ga
0.051 1.957 6.939 H
2.494 5.870 3.296 H
2.595 1.957 3.989 H
5.038 5.870 0.347 H
```

Computed properties:
Space group: Pnma (62)
DFT total energy, eV per atom: -6.0892
Calculated density, Mg/m³: 4.9
Crystal system: orthorhombic
D(E_F), states/eV per atom: 0.85

=====

[6]
Below is a geometry-optimized TiGaH2 structure, with properties calculated at the PBE level.

Geometry as POSCAR:
```
TiGaH2
1.0
4.092 0.000 0.000
0.000 4.092 0.000
0.000 0.000 9.860
Ti Ga H
4 4 8
Cartesian
0.000 0.000 0.000 Ti
0.000 2.046 2.465 Ti
2.046 0.000 7.395 Ti
2.046 2.046 4.930 Ti
0.000 0.000 4.930 Ga
0.000 2.046 7.395 Ga
2.046 0.000 2.465 Ga
2.046 2.046 0.000 Ga
0.757 1.023 1.233 H
1.023 2.803 3.698 H
1.023 3.336 8.628 H
1.289 1.023 6.163 H
2.803 3.069 6.163 H
3.069 0.757 8.628 H
3.069 1.289 3.698 H
3.336 3.069 1.233 H
```

Computed properties:
Space group: I-42d (122)
DFT total energy, eV per atom: -4.4181
ΔE to the lowest computed polymorph, eV per formula unit: 0.00
Calculated density, Mg/m³: 4.8
Crystal system: tetragonal
D(E_F), states/eV per atom: 0.49

=====

[7]
Below is a geometry-optimized TiGaH2 structure, with properties calculated at the PBE level.

Geometry as POSCAR:
```
TiGaH2
1.0
5.292 0.000 0.000
0.000 5.292 0.000
0.000 0.000 5.292
Ti Ga H
4 4 8
Cartesian
0.000 0.000 0.000 Ti
0.000 2.646 2.646 Ti
2.646 0.000 2.646 Ti
2.646 2.646 0.000 Ti
0.000 0.000 2.646 Ga
0.000 2.646 0.000 Ga
2.646 0.000 0.000 Ga
2.646 2.646 2.646 Ga
1.323 1.323 1.323 H
1.323 1.323 3.969 H
1.323 3.969 1.323 H
1.323 3.969 3.969 H
3.969 1.323 1.323 H
3.969 1.323 3.969 H
3.969 3.969 1.323 H
3.969 3.969 3.969 H
```

Computed properties:
Space group: Fm-3m (225)
DFT total energy, eV per atom: -4.1878
ΔE to the lowest computed polymorph, eV per formula unit: 0.92
Calculated density, Mg/m³: 5.4
Crystal system: cubic
D(E_F), states/eV per atom: 0.51

=====

[8]
Below is a geometry-optimized Ti3GaH structure, with properties calculated at the PBE level.

Geometry as POSCAR:
```
Ti3GaH
1.0
3.039 0.000 0.000
-1.519 2.632 0.000
0.000 0.000 17.954
Ti Ga H
6 2 2
Cartesian
0.000 0.000 4.489 Ti
0.000 0.000 13.466 Ti
0.000 1.754 2.208 Ti
0.000 1.754 6.769 Ti
1.519 0.877 11.186 Ti
1.519 0.877 15.746 Ti
0.000 0.000 0.000 Ga
0.000 0.000 8.977 Ga
0.000 1.754 4.489 H
1.519 0.877 13.466 H
```

Computed properties:
Space group: P6_3/mmc (194)
DFT total energy, eV per atom: -6.1591
Calculated density, Mg/m³: 5.0
Crystal system: hexagonal
D(E_F), states/eV per atom: 0.98

=====

Question: D(E_F) of number 4 (Ti3GaH)?
Answer: 0.66 states/eV per atom